[1]
This record from Alexandria describes a relaxed Pm2TeAs crystal. The functional is GGA-PBE.

- ΔE to the lowest computed polymorph (meV per atom) = 389
- energy relative to the elements, uncorrected (eV per atom) = -1.1611
- space group = Fm-3m (225)

Cell lengths 5.328, 5.328, 5.328 Å; angles 60.00, 60.00, 60.00 degrees
Last column: magnetic moment on the atom in μB.
Element x y z (fractional)
As: 0.000 0.000 0.000  -0.01
Te: 0.500 0.500 0.500  -0.01
Pm: 0.750 0.750 0.750  0.09
Pm: 0.250 0.250 0.250  0.09


[2]
This record from Alexandria describes a relaxed NdCd2Hg2 crystal. The functional is GGA-PBE.

- ΔE to the lowest computed polymorph (meV per atom) = 68
- ΔH_f (0 K) (eV/atom) = -0.226
- space group = Imma (74)

Cell lengths 4.812, 3.858, 13.911 Å; angles 97.97, 99.96, 90.00 degrees
Element x y z (fractional)
Hg: 0.380 0.130 0.760
Cd: 0.949 0.199 0.899
Hg: 0.275 0.025 0.551
Cd: 0.460 0.710 0.919
Cd: 0.540 0.290 0.081
Nd: 0.169 0.419 0.337
Hg: 0.620 0.870 0.240
Cd: 0.051 0.801 0.101
Nd: 0.831 0.581 0.663
Hg: 0.725 0.975 0.449


[3]
This record from Alexandria describes a relaxed KCu2S2 crystal. The functional is GGA-PBE.

- energy relative to the elements, uncorrected (eV per atom) = -0.3770
- space group = I4/mmm (139)

Cell lengths 4.668, 4.668, 6.279 Å; angles 68.18, 68.18, 90.00 degrees
Element x y z (fractional)
K: 0.000 0.000 0.000
S: 0.250 0.750 0.500
Cu: 0.285 0.285 0.430
S: 0.750 0.250 0.500
Cu: 0.715 0.715 0.570


[4]
This record from Alexandria describes a relaxed ScSbPb2Au crystal. The functional is GGA-PBE.

- energy relative to the elements, uncorrected (eV per atom) = 0.3939
- space group = P4/mmm (123)

Cell lengths 5.497, 5.412, 5.497 Å; angles 90.00, 90.00, 90.00 degrees
Element x y z (fractional)
Sb: 0.000 0.500 0.000
Sc: 0.500 0.500 0.500
Pb: 0.000 0.000 0.500
Pb: 0.500 0.000 0.000
Au: 0.000 0.000 0.000


[5]
This record from Alexandria describes a relaxed BeInNi2 crystal. The functional is GGA-PBE.

- ΔE to the lowest computed polymorph (meV per atom) = 79
- ΔH_f (0 K) (eV/atom) = -0.079
- space group = C2/m (12)

Cell lengths 4.431, 4.431, 4.199 Å; angles 62.47, 62.47, 45.20 degrees
Element x y z (fractional)
Be: 0.750 0.750 0.750
Ni: 0.037 0.037 0.959
In: 0.250 0.250 0.250
Ni: 0.463 0.463 0.541


[6]
This record from Alexandria describes a relaxed AcPm3Tl2 crystal. The functional is GGA-PBE.

- ΔE to the lowest computed polymorph (meV per atom) = 0
- ΔH_f (0 K) (eV/atom) = -0.240
- space group = P4/mmm (123)

Cell lengths 3.765, 3.765, 13.653 Å; angles 90.00, 90.00, 90.00 degrees
Element x y z (fractional)
Pm: 0.000 0.000 0.696
Tl: 0.500 0.500 0.155
Ac: 0.500 0.500 0.500
Tl: 0.500 0.500 0.845
Pm: 0.000 0.000 0.304
Pm: 0.000 0.000 0.000


[7]
This record from Alexandria describes a relaxed Mg2MoIr crystal. The functional is GGA-PBE.

- ΔE to the lowest computed polymorph (meV per atom) = 214
- ΔH_f (0 K) (eV/atom) = 0.098
- space group = Pmmm (47)

Cell lengths 2.992, 4.686, 4.650 Å; angles 90.00, 90.00, 90.00 degrees
Element x y z (fractional)
Mo: 0.500 0.000 0.500
Mg: 0.000 0.000 0.000
Mg: 0.500 0.500 0.000
Ir: 0.000 0.500 0.500


[8]
This record from Alexandria describes a relaxed BaNaPO4 crystal. The functional is GGA-PBE.

- ΔE to the lowest computed polymorph (meV per atom) = 311
- energy relative to the elements, uncorrected (eV per atom) = -2.2974
- space group = F-43m (216)

Cell lengths 5.846, 5.846, 5.846 Å; angles 60.00, 60.00, 60.00 degrees
Element x y z (fractional)
O: 0.358 0.358 0.358
O: 0.926 0.358 0.358
O: 0.358 0.358 0.926
Na: 0.500 0.500 0.500
Ba: 0.750 0.750 0.750
O: 0.358 0.926 0.358
P: 0.250 0.250 0.250


Energy in eV per atom, matching the order above: -5.484, -1.666, -3.886, -3.836, -4.586, -4.089, -5.623, -6.367